TbPrNdZn, relaxed, DFT PBE; volume = 116 Å³/cell; distance to the lowest polymorph of the same formula = 191 meV/atom; size of the total moment = 0.00 μB/cell
1.0
-2.2586 1.5512 4.7419
-5.2387 -1.1955 1.0585
-1.2405 -3.7464 3.7972
Pr Nd Zn Tb
1 1 1 1
Direct
0.0000 0.0000 0.0000
0.5000 0.5000 0.5000
0.2500 0.2500 0.2500
0.7500 0.7500 0.7500

---

TbPrNdZn, relaxed, DFT PBE; volume = 118 Å³/cell; distance to the lowest polymorph of the same formula = 0 meV/atom; size of the total moment = 0.00 μB/cell
1.0
3.6545 0.0000 0.0000
0.0000 3.6545 0.0000
0.0000 0.0000 8.8344
Tb Pr Nd Zn
1 1 1 1
Direct
0.5000 0.5000 0.3691
0.0000 0.0000 0.0786
0.5000 0.5000 0.7764
0.0000 0.0000 0.5605

---

no.,energy of formation (eV per atom)
1,0.037
2,-0.154